Record 1
{"formula": "LaTb3SmSc", "functional": "PBE", "state": "relaxed", "cell": [[2.515, -7.517, 0.000], [2.515, 7.517, 0.000], [0.000, 0.000, 10.095]], "species": ["La", "La", "Tb", "Tb", "Tb", "Tb", "Tb", "Tb", "Sm", "Sm", "Sc", "Sc"], "frac_coords": [[0.002, 0.998, 0.750], [0.998, 0.002, 0.250], [0.169, 0.831, 0.000], [0.169, 0.831, 0.500], [0.329, 0.671, 0.750], [0.671, 0.329, 0.250], [0.831, 0.169, 0.000], [0.831, 0.169, 0.500], [0.500, 0.500, 0.000], [0.500, 0.500, 0.500], [0.330, 0.670, 0.250], [0.670, 0.330, 0.750]], "mass_density_g_cm3": 7.06, "total_magnetization_mub_per_cell": 0.000, "vol_a3_per_cell": 381.7, "dft_energy_ev_per_atom": -4.932, "crystal_system": "orthorhombic", "ef_ev_per_atom": 0.05}

Record 2
{"formula": "Na2CaCu2H6", "functional": "PBE", "state": "relaxed", "cell": [[4.545, -2.671, 0.000], [4.545, 2.671, 0.000], [-2.563, 0.000, 5.719]], "species": ["Na", "Na", "Ca", "Cu", "Cu", "H", "H", "H", "H", "H", "H"], "frac_coords": [[0.203, 0.203, 0.161], [0.797, 0.797, 0.839], [0.000, 0.000, 0.500], [0.458, 0.458, 0.758], [0.542, 0.542, 0.242], [0.185, 0.695, 0.180], [0.269, 0.269, 0.603], [0.305, 0.815, 0.820], [0.695, 0.185, 0.180], [0.731, 0.731, 0.397], [0.815, 0.305, 0.820]], "mass_density_g_cm3": 2.62, "total_magnetization_mub_per_cell": 0.000, "vol_a3_per_cell": 138.9, "dft_energy_ev_per_atom": -3.159, "crystal_system": "monoclinic"}

Record 3
{"formula": "CaY2In", "functional": "PBE", "state": "relaxed", "cell": [[3.582, 0.000, 0.000], [0.000, 4.911, 0.000], [0.000, 0.000, 6.946]], "species": ["Ca", "Y", "Y", "In"], "frac_coords": [[0.000, 0.000, 0.000], [0.000, 0.000, 0.479], [0.500, 0.500, 0.724], [0.500, 0.500, 0.247]], "mass_density_g_cm3": 4.52, "total_magnetization_mub_per_cell": 0.000, "vol_a3_per_cell": 122.2, "dft_energy_ev_per_atom": -4.593, "crystal_system": "orthorhombic", "ef_ev_per_atom": -0.18}

Record 4
{"formula": "La2Si3Au6", "functional": "PBE", "state": "relaxed", "cell": [[7.754, 0.000, 0.000], [-3.877, 6.715, 0.000], [0.000, 0.000, 4.409]], "species": ["La", "La", "Si", "Si", "Si", "Au", "Au", "Au", "Au", "Au", "Au"], "frac_coords": [[0.333, 0.667, 0.000], [0.667, 0.333, 0.000], [0.000, 0.650, 0.500], [0.350, 0.350, 0.500], [0.650, 0.000, 0.500], [0.000, 0.330, 0.500], [0.000, 0.789, 0.000], [0.211, 0.211, 0.000], [0.330, 0.000, 0.500], [0.670, 0.670, 0.500], [0.789, 0.000, 0.000]], "mass_density_g_cm3": 11.17, "total_magnetization_mub_per_cell": 0.000, "vol_a3_per_cell": 229.6, "dft_energy_ev_per_atom": -4.757, "crystal_system": "hexagonal"}

Record 5
{"formula": "TaCr2Os", "functional": "PBE", "state": "relaxed", "cell": [[-3.442, 3.442, 2.584], [3.442, -3.442, 2.584], [3.442, 3.442, -2.584]], "species": ["Ta", "Ta", "Cr", "Cr", "Cr", "Cr", "Os", "Os"], "frac_coords": [[0.000, 0.000, 0.000], [0.750, 0.250, 0.500], [0.147, 0.625, 0.022], [0.375, 0.397, 0.522], [0.603, 0.125, 0.978], [0.875, 0.853, 0.478], [0.250, 0.750, 0.500], [0.500, 0.500, 0.000]], "mass_density_g_cm3": 12.88, "total_magnetization_mub_per_cell": 0.000, "vol_a3_per_cell": 122.5, "dft_energy_ev_per_atom": -9.882, "de_polymorph_mev_per_atom": 737, "crystal_system": "tetragonal", "ef_ev_per_atom": 0.70}

Record 6
{"formula": "Ni2S3I", "functional": "PBE", "state": "relaxed", "cell": [[6.892, 0.000, 0.000], [-3.446, 5.969, 0.000], [0.000, 0.000, 5.806]], "species": ["Ni", "Ni", "Ni", "Ni", "S", "S", "S", "S", "S", "S", "I", "I"], "frac_coords": [[0.000, 0.000, 0.000], [0.000, 0.500, 0.000], [0.500, 0.000, 0.000], [0.500, 0.500, 0.000], [0.173, 0.345, 0.824], [0.173, 0.827, 0.824], [0.345, 0.173, 0.176], [0.655, 0.827, 0.824], [0.827, 0.173, 0.176], [0.827, 0.655, 0.176], [0.333, 0.667, 0.376], [0.667, 0.333, 0.624]], "mass_density_g_cm3": 4.73, "total_magnetization_mub_per_cell": 0.000, "vol_a3_per_cell": 238.8, "dft_energy_ev_per_atom": -4.428, "crystal_system": "trigonal"}

Record 7
{"formula": "SrGa2Pt", "functional": "PBE", "state": "relaxed", "cell": [[-2.501, 2.501, 8.532], [2.501, -2.501, 8.532], [2.501, 2.501, -8.532]], "species": ["Sr", "Sr", "Ga", "Ga", "Ga", "Ga", "Pt", "Pt"], "frac_coords": [[0.375, 0.625, 0.750], [0.625, 0.375, 0.250], [0.000, 0.000, 0.000], [0.000, 0.000, 0.500], [0.000, 0.500, 0.000], [0.500, 0.000, 0.500], [0.125, 0.875, 0.250], [0.875, 0.125, 0.750]], "mass_density_g_cm3": 6.57, "total_magnetization_mub_per_cell": 0.000, "vol_a3_per_cell": 213.5, "dft_energy_ev_per_atom": -3.961, "crystal_system": "tetragonal", "ef_ev_per_atom": -0.52}

Record 8
{"formula": "MnAg2SbS4", "functional": "PBE", "state": "relaxed", "cell": [[8.587, 0.000, 0.000], [0.000, 6.782, 0.000], [0.000, 0.000, 6.532]], "species": ["Mn", "Mn", "Ag", "Ag", "Ag", "Ag", "Sb", "Sb", "S", "S", "S", "S", "S", "S", "S", "S"], "frac_coords": [[0.000, 0.155, 0.000], [0.500, 0.845, 0.500], [0.249, 0.318, 0.499], [0.251, 0.682, 0.999], [0.749, 0.682, 0.999], [0.751, 0.318, 0.499], [0.000, 0.790, 0.477], [0.500, 0.210, 0.977], [0.000, 0.142, 0.361], [0.000, 0.840, 0.859], [0.211, 0.321, 0.885], [0.289, 0.679, 0.385], [0.500, 0.160, 0.359], [0.500, 0.858, 0.861], [0.711, 0.679, 0.385], [0.789, 0.321, 0.885]], "mass_density_g_cm3": 4.55, "total_magnetization_mub_per_cell": 7.999, "vol_a3_per_cell": 380.4, "dft_energy_ev_per_atom": -4.660, "crystal_system": "orthorhombic"}